No. 1
A geometry-optimized KFe4Si3O12 structure. Source: Alexandria, functional PBE+U.

Unit cell a=5.3588 b=5.3607 c=10.6485 alpha=94.46 beta=95.24 gamma=119.19
Fractional positions:
K 0.0000 0.0000 0.0000
Fe 0.1642 0.8508 0.5187
Fe 0.4969 0.5078 0.5196
Fe 0.6133 0.2712 0.7880
Fe 0.8465 0.1638 0.5123
Si 0.2742 0.6166 0.7934
Si 0.3989 0.7424 0.2464
Si 0.7448 0.4081 0.2478
O 0.0500 0.5569 0.1849
O 0.1273 0.1433 0.4239
O 0.2038 0.5736 0.6337
O 0.3579 0.9426 0.8540
O 0.4309 0.7931 0.4001
O 0.5473 0.5719 0.8385
O 0.5544 0.0585 0.1915
O 0.5538 0.1865 0.6055
O 0.5547 0.5585 0.1968
O 0.8160 0.4606 0.4033
O 0.8658 0.8745 0.6006
O 0.9945 0.3854 0.8529

Properties
SG: P1
Magnetic moment in μB per formula unit: 17.03
Electronic total energy in eV for the cell shown: -140.70

***

No. 2
A geometry-optimized KSmFe4O12 structure. Source: Alexandria, functional PBE+U.

Unit cell a=7.6593 b=5.4188 c=5.4188 alpha=89.97 beta=90.00 gamma=90.00
Fractional positions:
K 0.0000 0.0000 0.0000
Sm 0.5000 0.4935 0.4935
Fe 0.2464 0.4997 0.9983
Fe 0.2464 0.9983 0.4997
Fe 0.7536 0.4997 0.9983
Fe 0.7536 0.9983 0.4997
O 0.0000 0.5023 0.9942
O 0.0000 0.9942 0.5023
O 0.2605 0.2607 0.2607
O 0.2672 0.2601 0.7388
O 0.2672 0.7388 0.2601
O 0.2732 0.7372 0.7372
O 0.5000 0.0137 0.4932
O 0.5000 0.4932 0.0137
O 0.7268 0.7372 0.7372
O 0.7328 0.2601 0.7388
O 0.7328 0.7388 0.2601
O 0.7395 0.2607 0.2607

Properties
SG: Amm2
Magnetic moment in μB per formula unit: 19.50
Electronic total energy in eV for the cell shown: -107.04

***

No. 3
A geometry-optimized KSmFeO3 structure. Source: Alexandria, functional PBE+U.

Unit cell a=7.6654 b=3.6296 c=8.3467 alpha=90.00 beta=103.75 gamma=90.00
Fractional positions:
K 0.1814 0.2500 0.1905
K 0.8186 0.7500 0.8095
Sm 0.3486 0.7500 0.8482
Sm 0.6514 0.2500 0.1518
Fe 0.0904 0.2500 0.6078
Fe 0.9096 0.7500 0.3922
O 0.1405 0.2500 0.8483
O 0.1762 0.7500 0.5412
O 0.4517 0.7500 0.1289
O 0.5483 0.2500 0.8711
O 0.8238 0.2500 0.4588
O 0.8595 0.7500 0.1517

Properties
SG: P2_1/m
Magnetic moment in μB per formula unit: 4.00
Electronic total energy in eV for the cell shown: -77.93

***

No. 4
A geometry-optimized K2SmFeO4 structure. Source: Alexandria, functional PBE+U.

Unit cell a=6.9621 b=6.9621 c=6.9621 alpha=121.46 beta=117.96 gamma=90.53
Fractional positions:
K 0.0000 0.0000 0.0000
K 0.5000 0.0000 0.0000
K 0.5000 0.0000 0.5000
K 0.5000 0.5000 0.5000
Sm 0.0000 0.5000 0.5000
Sm 0.5000 0.5000 0.0000
Fe 0.0000 0.0000 0.5000
Fe 0.0000 0.5000 0.0000
O 0.1855 0.7388 0.4467
O 0.2079 0.2612 0.9467
O 0.2189 0.2477 0.5288
O 0.2189 0.6901 0.9712
O 0.7811 0.3099 0.0288
O 0.7811 0.7523 0.4712
O 0.7921 0.7388 0.0533
O 0.8145 0.2612 0.5533

Properties
SG: Imma
Magnetic moment in μB per formula unit: 5.10
Electronic total energy in eV for the cell shown: -95.55

***

No. 5
A geometry-optimized KFeSn3O8 structure. Source: Alexandria, functional PBE+U.

Unit cell a=7.6087 b=7.6087 c=10.5228 alpha=133.13 beta=133.13 gamma=24.34
Fractional positions:
K 0.0000 0.0000 0.0000
Fe 0.8583 0.8583 0.1779
Sn 0.1635 0.1635 0.8225
Sn 0.3443 0.3443 0.4723
Sn 0.6673 0.6673 0.5002
O 0.0469 0.0469 0.3614
O 0.3027 0.3027 0.6314
O 0.3483 0.3483 0.2856
O 0.3557 0.3557 0.0430
O 0.6615 0.6615 0.9497
O 0.6706 0.6706 0.6987
O 0.7097 0.7097 0.3437
O 0.9674 0.9674 0.6208

Properties
SG: Cm
Magnetic moment in μB per formula unit: 5.00
Electronic total energy in eV for the cell shown: -79.73

***

No. 6
A geometry-optimized KSr2FeO4 structure. Source: Alexandria, functional PBE+U.

Unit cell a=6.6325 b=6.6325 c=12.4458 alpha=90.00 beta=90.00 gamma=148.85
Fractional positions:
K 0.0944 0.9056 0.7500
K 0.9056 0.0944 0.2500
Sr 0.3715 0.6285 0.5363
Sr 0.3715 0.6285 0.9637
Sr 0.6285 0.3715 0.0363
Sr 0.6285 0.3715 0.4637
Fe 0.1771 0.8229 0.2500
Fe 0.8229 0.1771 0.7500
O 0.0000 0.0000 0.0000
O 0.0000 0.0000 0.5000
O 0.2540 0.7460 0.1229
O 0.2540 0.7460 0.3771
O 0.3982 0.6018 0.7500
O 0.6018 0.3982 0.2500
O 0.7460 0.2540 0.6229
O 0.7460 0.2540 0.8771

Properties
SG: Cmcm
Magnetic moment in μB per formula unit: 4.89
Electronic total energy in eV for the cell shown: -93.59